A relaxed structure of Ta2ReRh. Source: Alexandria via LeMat-Bulk, functional PBE-GGA.

Summary:
Raw total energy ... -10.97 eV/atom
Volume ... 131 Å³/cell

Structure (CIF):
```
data_Ta2ReRh
_chemical_formula_sum 'Ta4 Re2 Rh2'
_cell_length_a 3.623
_cell_length_b 4.203
_cell_length_c 8.614
_cell_angle_alpha 90.00
_cell_angle_beta 90.00
_cell_angle_gamma 90.00
_space_group_name_H-M_alt 'C m m 2'
_space_group_IT_number 35
loop_
_space_group_symop_operation_xyz
'x,y,z'
'-x,-y,z'
'-x,y,z'
'x,-y,z'
'x+1/2,y+1/2,z'
'-x+1/2,-y+1/2,z'
'-x+1/2,y+1/2,z'
'x+1/2,-y+1/2,z'
loop_
_atom_site_label
_atom_site_type_symbol
_atom_site_fract_x
_atom_site_fract_y
_atom_site_fract_z
Ta1 Ta 0.000 0.000 0.000
Ta2 Ta 0.000 0.500 0.273
Re1 Re 0.000 0.000 0.534
Rh1 Rh 0.000 0.500 0.750
```

=====

A relaxed structure of CdAg5Au2. Source: Alexandria via LeMat-Bulk, functional PBE-GGA.

Summary:
Raw total energy ... -2.78 eV/atom
Volume ... 292 Å³/cell

Structure (CIF):
```
data_CdAg5Au2
_chemical_formula_sum 'Cd2 Ag10 Au4'
_cell_length_a 6.005
_cell_length_b 12.054
_cell_length_c 4.036
_cell_angle_alpha 90.00
_cell_angle_beta 90.00
_cell_angle_gamma 90.00
_space_group_name_H-M_alt 'P b a m'
_space_group_IT_number 55
loop_
_space_group_symop_operation_xyz
'x,y,z'
'-x,-y,-z'
'-x,-y,z'
'x,y,-z'
'x+1/2,-y+1/2,-z'
'-x+1/2,y+1/2,z'
'-x+1/2,y+1/2,-z'
'x+1/2,-y+1/2,z'
loop_
_atom_site_label
_atom_site_type_symbol
_atom_site_fract_x
_atom_site_fract_y
_atom_site_fract_z
Cd1 Cd 0.000 0.000 0.000
Ag1 Ag 0.000 0.500 0.000
Ag2 Ag 0.004 0.250 0.000
Ag3 Ag 0.244 0.627 0.500
Au1 Au 0.248 0.875 0.500
```

=====

A relaxed structure of Sm2AlGe2Rh5. Source: Alexandria via LeMat-Bulk, functional PBE-GGA.

Summary:
Raw total energy ... -6.71 eV/atom
Volume ... 347 Å³/cell

Structure (CIF):
```
data_Sm2AlGe2Rh5
_chemical_formula_sum 'Sm4 Al2 Ge4 Rh10'
_cell_length_a 9.886
_cell_length_b 9.886
_cell_length_c 3.545
_cell_angle_alpha 90.00
_cell_angle_beta 90.00
_cell_angle_gamma 90.00
_space_group_name_H-M_alt 'P 4/m b m'
_space_group_IT_number 127
_space_group_name_Hall '-P 4 2ab'
loop_
_atom_site_label
_atom_site_type_symbol
_atom_site_fract_x
_atom_site_fract_y
_atom_site_fract_z
Sm1 Sm 0.174 0.326 0.000
Al1 Al 0.000 0.000 0.000
Ge1 Ge 0.125 0.625 0.000
Rh1 Rh 0.000 0.500 0.500
Rh2 Rh 0.065 0.794 0.500
```

=====

A relaxed structure of Ca2FeRu2. Source: Alexandria via LeMat-Bulk, functional PBE-GGA.

Summary:
Raw total energy ... -5.89 eV/atom
Volume ... 192 Å³/cell

Structure (CIF):
```
data_Ca2FeRu2
_chemical_formula_sum 'Ca4 Fe2 Ru4'
_cell_length_a 6.313
_cell_length_b 6.313
_cell_length_c 4.813
_cell_angle_alpha 90.00
_cell_angle_beta 90.00
_cell_angle_gamma 90.00
_space_group_name_H-M_alt 'P 4/m b m'
_space_group_IT_number 127
_space_group_name_Hall '-P 4 2ab'
loop_
_atom_site_label
_atom_site_type_symbol
_atom_site_fract_x
_atom_site_fract_y
_atom_site_fract_z
Ca1 Ca 0.180 0.320 0.000
Fe1 Fe 0.000 0.000 0.500
Ru1 Ru 0.135 0.635 0.500
```

=====

A relaxed structure of Nb3CoBr. Source: Alexandria via LeMat-Bulk, functional PBE-GGA.

Summary:
Raw total energy ... -6.26 eV/atom
Volume ... 103 Å³/cell
ΔE to the lowest computed polymorph ... 649.9 meV/atom

Structure (CIF):
```
data_Nb3CoBr
_chemical_formula_sum 'Nb3 Co1 Br1'
_cell_length_a 4.695
_cell_length_b 4.695
_cell_length_c 4.695
_cell_angle_alpha 90.00
_cell_angle_beta 90.00
_cell_angle_gamma 90.00
_space_group_name_H-M_alt 'P m -3 m'
_space_group_IT_number 221
_space_group_name_Hall '-P 4 2 3'
loop_
_atom_site_label
_atom_site_type_symbol
_atom_site_fract_x
_atom_site_fract_y
_atom_site_fract_z
Nb1 Nb 0.000 0.000 0.500
Co1 Co 0.500 0.500 0.500
Br1 Br 0.000 0.000 0.000
```

=====

A relaxed structure of ZrPS2. Source: Alexandria via LeMat-Bulk, functional PBE-GGA.

Summary:
Raw total energy ... -6.17 eV/atom
Volume ... 251 Å³/cell

Structure (CIF):
```
data_ZrPS2
_chemical_formula_sum 'Zr3 P3 S6'
_cell_length_a 3.4744
_cell_length_b 3.4744
_cell_length_c 24.0433
_cell_angle_alpha 90.00
_cell_angle_beta 90.00
_cell_angle_gamma 120.00
_space_group_name_H-M_alt 'R -3 m'
_space_group_IT_number 166
_space_group_name_Hall '-R 3 2"'
loop_
_atom_site_label
_atom_site_type_symbol
_atom_site_fract_x
_atom_site_fract_y
_atom_site_fract_z
Zr1 Zr 0.0000 0.0000 0.0000
P1 P 0.0000 0.0000 0.5000
S1 S 0.0000 0.0000 0.4006
```

=====

A relaxed structure of SrLi2Ca2Ge2. Source: Alexandria via LeMat-Bulk, functional PBE-GGA.

Summary:
Raw total energy ... -3.16 eV/atom
Volume ... 544 Å³/cell

Structure (CIF):
```
data_SrLi2Ca2Ge2
_chemical_formula_sum 'Sr3 Li6 Ca6 Ge6'
_cell_length_a 4.7738
_cell_length_b 4.7738
_cell_length_c 27.5810
_cell_angle_alpha 90.00
_cell_angle_beta 90.00
_cell_angle_gamma 120.00
_space_group_name_H-M_alt 'R -3 m'
_space_group_IT_number 166
_space_group_name_Hall '-R 3 2"'
loop_
_atom_site_label
_atom_site_type_symbol
_atom_site_fract_x
_atom_site_fract_y
_atom_site_fract_z
Sr1 Sr 0.0000 0.0000 0.0000
Li1 Li 0.0000 0.0000 0.4076
Ca1 Ca 0.0000 0.0000 0.1289
Ge1 Ge 0.0000 0.0000 0.2510
```

=====

A relaxed structure of Zn2CuGePb. Source: Alexandria via LeMat-Bulk, functional PBE-GGA.

Summary:
Raw total energy ... -1.92 eV/atom
Volume ... 153 Å³/cell

Structure (CIF):
```
data_Zn2CuGePb
_chemical_formula_sum 'Zn2 Cu1 Ge1 Pb1'
_cell_length_a 5.238
_cell_length_b 5.238
_cell_length_c 5.589
_cell_angle_alpha 90.00
_cell_angle_beta 90.00
_cell_angle_gamma 90.00
_space_group_name_H-M_alt 'P 4/m m m'
_space_group_IT_number 123
_space_group_name_Hall '-P 4 2'
loop_
_atom_site_label
_atom_site_type_symbol
_atom_site_fract_x
_atom_site_fract_y
_atom_site_fract_z
Zn1 Zn 0.000 0.500 0.000
Cu1 Cu 0.000 0.000 0.500
Ge1 Ge 0.500 0.500 0.500
Pb1 Pb 0.500 0.500 0.000
```

=====

A relaxed structure of Dy9HoTm2. Source: Alexandria via LeMat-Bulk, functional PBE-GGA.

Summary:
Raw total energy ... -4.53 eV/atom
Volume ... 373 Å³/cell
ΔE to the lowest computed polymorph ... 28.9 meV/atom

Structure (CIF):
```
data_Dy9HoTm2
_chemical_formula_sum 'Dy9 Ho1 Tm2'
_cell_length_a 11.1354
_cell_length_b 11.1354
_cell_length_c 3.4705
_cell_angle_alpha 90.00
_cell_angle_beta 90.00
_cell_angle_gamma 120.00
_space_group_name_H-M_alt 'P 6/m m m'
_space_group_IT_number 191
_space_group_name_Hall '-P 6 2'
loop_
_atom_site_label
_atom_site_type_symbol
_atom_site_fract_x
_atom_site_fract_y
_atom_site_fract_z
Dy1 Dy 0.0000 0.5000 0.0000
Dy2 Dy 0.1765 0.3529 0.5000
Ho1 Ho 0.0000 0.0000 0.0000
Tm1 Tm 0.3333 0.6667 0.0000
```

=====

A relaxed structure of CaLa5Sm6. Source: Alexandria via LeMat-Bulk, functional PBE-GGA.

Summary:
Raw total energy ... -4.54 eV/atom
Volume ... 859 Å³/cell

Structure (CIF):
```
data_CaLa5Sm6
_chemical_formula_sum 'Ca2 La10 Sm12'
_cell_length_a 5.254
_cell_length_b 10.396
_cell_length_c 15.726
_cell_angle_alpha 90.00
_cell_angle_beta 90.00
_cell_angle_gamma 90.00
_space_group_name_H-M_alt 'I m m m'
_space_group_IT_number 71
_space_group_name_Hall '-I 2 2'
loop_
_atom_site_label
_atom_site_type_symbol
_atom_site_fract_x
_atom_site_fract_y
_atom_site_fract_z
Ca1 Ca 0.000 0.000 0.000
La1 La 0.000 0.000 0.332
La2 La 0.000 0.500 0.000
La3 La 0.000 0.500 0.328
Sm1 Sm 0.000 0.240 0.500
Sm2 Sm 0.000 0.253 0.168
```

=====

A relaxed structure of BaSmHo4Se8. Source: Alexandria via LeMat-Bulk, functional PBE-GGA.

Summary:
Raw total energy ... -5.54 eV/atom
Volume ... 1355 Å³/cell

Structure (CIF):
```
data_BaSmHo4Se8
_chemical_formula_sum 'Ba3 Sm3 Ho12 Se24'
_cell_length_a 8.5747
_cell_length_b 8.5747
_cell_length_c 21.2852
_cell_angle_alpha 90.00
_cell_angle_beta 90.00
_cell_angle_gamma 120.00
_space_group_name_H-M_alt 'R 3 m'
_space_group_IT_number 160
_space_group_name_Hall 'R 3 -2"'
loop_
_atom_site_label
_atom_site_type_symbol
_atom_site_fract_x
_atom_site_fract_y
_atom_site_fract_z
Ba1 Ba 0.0000 0.0000 0.0000
Sm1 Sm 0.0000 0.0000 0.6292
Ho1 Ho 0.0000 0.0000 0.2527
Ho2 Ho 0.1686 0.3373 0.4600
Se1 Se 0.0000 0.0000 0.3846
Se2 Se 0.0000 0.0000 0.8589
Se3 Se 0.0421 0.5211 0.3856
Se4 Se 0.1742 0.3484 0.2065
```

=====

A relaxed structure of Ho2ScNi9. Source: Alexandria via LeMat-Bulk, functional PBE-GGA.

Summary:
Raw total energy ... -6.02 eV/atom
Volume ... 336 Å³/cell

Structure (CIF):
```
data_Ho2ScNi9
_chemical_formula_sum 'Ho4 Sc2 Ni18'
_cell_length_a 4.8977
_cell_length_b 4.8977
_cell_length_c 16.1705
_cell_angle_alpha 90.00
_cell_angle_beta 90.00
_cell_angle_gamma 120.00
_space_group_name_H-M_alt 'P 63/m m c'
_space_group_IT_number 194
_space_group_name_Hall '-P 6c 2c'
loop_
_atom_site_label
_atom_site_type_symbol
_atom_site_fract_x
_atom_site_fract_y
_atom_site_fract_z
Ho1 Ho 0.3333 0.6667 0.0439
Sc1 Sc 0.3333 0.6667 0.2500
Ni1 Ni 0.0000 0.0000 0.0000
Ni2 Ni 0.0000 0.0000 0.2500
Ni3 Ni 0.1671 0.3342 0.6277
Ni4 Ni 0.3333 0.6667 0.7500
```

=====

no.,DOS(E_F) (states/eV/atom)
1,1.04
2,0.26
3,0.32
4,1.34
5,1.85
6,0.46
7,0.05
8,0.69
9,1.51
10,1.77
11,0.29
12,1.33